1.
VASP calculation (PBE-GGA) on MgZn11Ga after structural relaxation.

The structure belongs to space group C2/m (No. 12); the cell edges are 5.406, 12.345 and 6.820 Å and the angles 90.00°, 112.92° and 90.00°. The inequivalent atoms are Mg at (0.000, 0.000, 0.000), Zn at (0.000, 0.000, 0.500), Zn at (0.113, 0.391, 0.215), Zn at (0.163, 0.177, 0.348), Zn at (0.250, 0.250, 0.000) and Ga at (0.000, 0.500, 0.500).

The formation energy comes out at 0.02 eV/atom.

2.
VASP calculation (PBE-GGA) on Mg4ZnGa2 after structural relaxation.

The structure belongs to space group R-3m (No. 166, hexagonal axes); the cell edges are 4.6509, 4.6509 and 22.8978 Å and the angles 90.00°, 90.00° and 120.00°. The inequivalent atoms are Mg at (0.0000, 0.0000, 0.1221), Mg at (0.0000, 0.0000, 0.3724), Zn at (0.0000, 0.0000, 0.5000) and Ga at (0.0000, 0.0000, 0.2497).

The formation energy comes out at -0.09 eV/atom. As for the energy above the most stable polymorph in this dataset: 0.0 meV per atom.